A plane-wave DFT calculation with PBE was carried out for a relaxed BaZnTeO crystal.

Lattice parameters (Å, degrees): 5.2076 5.2076 7.9520 90.00 90.00 90.00
Last column: nearest neighbours and their distance in Å.
Space group P4/nmm (No. 129, origin choice 2)
Symmetry-distinct sites (fractional):
1 Ba 0.2500 0.2500 0.1748 x2  1 O 2.37
2 Zn 0.2500 0.2500 0.6405 x2  1 O 1.88
3 Te 0.2500 0.7500 0.5000 x2  4 Zn 2.83
4 O 0.2500 0.2500 0.8772 x2  1 Zn 1.88

Output
Electronic total energy in eV/atom: -4.087

---

A plane-wave DFT calculation with PBE was carried out for a relaxed BaZnTeO crystal.

Lattice parameters (Å, degrees): 4.2728 14.0231 6.3212 90.00 90.00 90.00
Last column: nearest neighbours and their distance in Å.
Space group Cmcm (No. 63)
Symmetry-distinct sites (fractional):
1 Ba 0.0000 0.0922 0.2500 x4  4 O 2.96
2 Zn 0.0000 0.4103 0.2500 x4  2 O 2.02
3 Te 0.0000 0.1981 0.7500 x4  2 Zn 2.62
4 O 0.0000 0.5000 0.0000 x4  2 Zn 2.02

Output
Electronic total energy in eV/atom: -4.367

---

A plane-wave DFT calculation with PBE was carried out for a relaxed BaZnTeO crystal.

Lattice parameters (Å, degrees): 6.6058 9.4739 6.3081 90.00 90.00 90.00
Last column: nearest neighbours and their distance in Å.
Space group Pca2_1 (No. 29)
Symmetry-distinct sites (fractional):
1 Ba 0.0375 0.2354 0.0000 x4  1 O 2.72
2 Zn 0.1024 0.5758 0.9839 x4  3 O 2.05-2.22
3 Te 0.0382 0.8531 0.9972 x4  1 Zn 2.66
4 O 0.1305 0.5204 0.6434 x4  3 Zn 2.05-2.22

Output
Electronic total energy in eV/atom: -4.234

---

A plane-wave DFT calculation with PBE was carried out for a relaxed BaZnTeO crystal.

Lattice parameters (Å, degrees): 7.3740 7.3822 7.3863 90.00 90.00 90.00
Last column: nearest neighbours and their distance in Å.
Space group P2_12_12_1 (No. 19)
Symmetry-distinct sites (fractional):
1 Ba 0.1437 0.1454 0.3586 x4  3 O 2.65-2.67
2 Zn 0.0642 0.5688 0.5633 x4  1 O 1.89
3 Te 0.1301 0.3724 0.8687 x4  3 Zn 2.71-2.73
4 O 0.0840 0.9204 0.0841 x4  1 Zn 1.89

Output
Electronic total energy in eV/atom: -4.366

---

A plane-wave DFT calculation with PBE was carried out for a relaxed BaZnTeO crystal.

Lattice parameters (Å, degrees): 3.4773 16.7944 6.3829 90.00 90.00 90.00
Last column: nearest neighbours and their distance in Å.
Space group Cmcm (No. 63)
Symmetry-distinct sites (fractional):
1 Ba 0.0000 0.1219 0.2500 x4  2 O 2.60
2 Zn 0.0000 0.4483 0.2500 x4  4 O 2.51
3 Te 0.0000 0.1886 0.7500 x4  2 Zn 2.88
4 O 0.0000 0.0000 0.0000 x4  4 Zn 2.51, 2 Ba 2.60

Output
Electronic total energy in eV/atom: -3.723

---

A plane-wave DFT calculation with PBE was carried out for a relaxed BaZnTeO crystal.

Lattice parameters (Å, degrees): 4.4004 4.4004 9.5397 90.00 90.00 90.00
Last column: nearest neighbours and their distance in Å.
Space group P4/nmm (No. 129, origin choice 2)
Symmetry-distinct sites (fractional):
1 Ba 0.2500 0.2500 0.2395 x2  1 Zn 3.06, 4 O 3.17, 4 Te 3.32
2 Zn 0.2500 0.2500 0.9182 x2  4 O 2.33
3 Te 0.2500 0.2500 0.6402 x2  1 Zn 2.65
4 O 0.2500 0.7500 0.0000 x2  4 Zn 2.33

Output
Electronic total energy in eV/atom: -4.081